CaZnGa2Ru | Alexandria via LeMat-Bulk | PBE-GGA | optimized geometry; energy of formation = -1.37 eV/f.u.; space group = No. 123; theoretical density = 5.2 Mg/m³
1.0
-3.407 2.986 -1.434
-2.147 -3.558 -2.306
-2.581 -1.029 3.990
Ru Ga Zn Ca
1 2 1 1
Cartesian
0.000 0.000 0.000
-1.704 1.493 -0.717
-1.074 -1.779 -1.153
-1.290 -0.514 1.995
-4.068 -0.800 0.125